This record from the Alexandria database describes a relaxed structure of RbCuN2F. The functional is PBE-GGA.

CIF file:
```
data_RbCuN2F
_chemical_formula_sum 'Rb1 Cu1 N2 F1'
_symmetry_space_group_name_H-M 'P 4/m m m'
_symmetry_Int_Tables_number 123
_symmetry_space_group_name_Hall '-P 4 2'
_cell_length_a 3.814
_cell_length_b 3.814
_cell_length_c 5.549
_cell_angle_alpha 90.00
_cell_angle_beta 90.00
_cell_angle_gamma 90.00
loop_
_atom_site_label
_atom_site_type_symbol
_atom_site_fract_x
_atom_site_fract_y
_atom_site_fract_z
Rb1 Rb 0.000 0.000 0.000
Cu1 Cu 0.500 0.500 0.500
N1 N 0.000 0.500 0.500
F1 F 0.500 0.500 0.000
```

Summary:
The value obtained for the calculated volume is 80.7 Å³/f.u. As for the formation energy from raw total energies: 0.356 eV/atom. The calculation puts the mass density at 4.03 g cm⁻³. Its relative energy among the computed polymorphs is 0.0 kJ/mol of formula units.